# 1
Here is a relaxed TlRe2TeMo crystal from Alexandria. Energies are from PBE.

Uncorrected energy = -6.430 eV per atom
Formation energy (no corrections) = 1.82 eV/atom

```
data_TlRe2TeMo
_cell_length_a 4.794
_cell_length_b 4.794
_cell_length_c 5.269
_cell_angle_alpha 90.00
_cell_angle_beta 90.00
_cell_angle_gamma 90.00
_symmetry_space_group_name_H-M 'P 4/m m m'
_symmetry_Int_Tables_number 123
_symmetry_space_group_name_Hall '-P 4 2'
loop_
_atom_site_label
_atom_site_type_symbol
_atom_site_fract_x
_atom_site_fract_y
_atom_site_fract_z
Tl1 Tl 0.000 0.000 0.000
Re1 Re 0.000 0.500 0.500
Te1 Te 0.500 0.500 0.000
Mo1 Mo 0.000 0.000 0.500
```

# 2
Here is a relaxed KPaTe2O6 crystal from Alexandria. Energies are from PBE.

Uncorrected energy = -6.601 eV per atom
Formation energy (no corrections) = -1.94 eV/atom

```
data_KPaTe2O6
_cell_length_a 14.066
_cell_length_b 8.509
_cell_length_c 6.331
_cell_angle_alpha 90.00
_cell_angle_beta 103.47
_cell_angle_gamma 90.00
_symmetry_space_group_name_H-M 'C 1 2/c 1'
_symmetry_Int_Tables_number 15
_symmetry_space_group_name_Hall '-C 2yc'
loop_
_atom_site_label
_atom_site_type_symbol
_atom_site_fract_x
_atom_site_fract_y
_atom_site_fract_z
K1 K 0.000 0.117 0.250
Pa1 Pa 0.000 0.406 0.750
Te1 Te 0.236 0.160 0.777
O1 O 0.074 0.414 0.096
O2 O 0.096 0.222 0.683
O3 O 0.206 0.043 0.363
```

# 3
Here is a relaxed CrN2 crystal from Alexandria. Energies are from PBE.

Uncorrected energy = -8.650 eV per atom
Formation energy (no corrections) = 0.11 eV/atom

```
data_CrN2
_cell_length_a 9.119
_cell_length_b 9.811
_cell_length_c 5.664
_cell_angle_alpha 90.00
_cell_angle_beta 90.00
_cell_angle_gamma 90.00
_symmetry_space_group_name_H-M 'A m a 2'
_symmetry_Int_Tables_number 40
_symmetry_space_group_name_Hall 'A 2 -2a'
loop_
_atom_site_label
_atom_site_type_symbol
_atom_site_fract_x
_atom_site_fract_y
_atom_site_fract_z
Cr1 Cr 0.061 0.167 0.000
N1 N 0.000 0.000 0.999
N2 N 0.001 0.250 0.749
N3 N 0.250 0.167 0.001
```

# 4
Here is a relaxed CdAuBr2 crystal from Alexandria. Energies are from PBE.

Uncorrected energy = -1.796 eV per atom
Formation energy (no corrections) = 0.09 eV/atom

```
data_CdAuBr2
_cell_length_a 7.266
_cell_length_b 7.266
_cell_length_c 7.266
_cell_angle_alpha 90.00
_cell_angle_beta 90.00
_cell_angle_gamma 90.00
_symmetry_space_group_name_H-M 'F m -3 m'
_symmetry_Int_Tables_number 225
_symmetry_space_group_name_Hall '-F 4 2 3'
loop_
_atom_site_label
_atom_site_type_symbol
_atom_site_fract_x
_atom_site_fract_y
_atom_site_fract_z
Cd1 Cd 0.000 0.000 0.000
Au1 Au 0.000 0.000 0.500
Br1 Br 0.250 0.250 0.250
```

# 5
Here is a relaxed Pm4Y3Ho2 crystal from Alexandria. Energies are from PBE.

Uncorrected energy = -5.194 eV per atom
Formation energy from the elements = 0.09 eV per atom

```
data_Pm4Y3Ho2
_cell_length_a 16.843
_cell_length_b 11.732
_cell_length_c 6.026
_cell_angle_alpha 90.00
_cell_angle_beta 97.24
_cell_angle_gamma 90.00
_symmetry_space_group_name_H-M 'C 1 2/c 1'
_symmetry_Int_Tables_number 15
_symmetry_space_group_name_Hall '-C 2yc'
loop_
_atom_site_label
_atom_site_type_symbol
_atom_site_fract_x
_atom_site_fract_y
_atom_site_fract_z
Pm1 Pm 0.064 0.111 0.046
Pm2 Pm 0.227 0.390 0.884
Y1 Y 0.000 0.350 0.750
Y2 Y 0.169 0.151 0.581
Ho1 Ho 0.103 0.394 0.295
```

# 6
Here is a relaxed Ca2NdGa crystal from Alexandria. Energies are from PBE.

Uncorrected energy = -3.163 eV per atom
Formation energy from the elements = -0.21 eV per atom

```
data_Ca2NdGa
_cell_length_a 5.353
_cell_length_b 9.303
_cell_length_c 9.953
_cell_angle_alpha 90.00
_cell_angle_beta 90.00
_cell_angle_gamma 90.00
_symmetry_space_group_name_H-M 'C m c m'
_symmetry_Int_Tables_number 63
_symmetry_space_group_name_Hall '-C 2c 2'
loop_
_atom_site_label
_atom_site_type_symbol
_atom_site_fract_x
_atom_site_fract_y
_atom_site_fract_z
Ca1 Ca 0.000 0.166 0.069
Nd1 Nd 0.000 0.499 0.250
Ga1 Ga 0.000 0.168 0.750
```

# 7
Here is a relaxed HfHgBr2 crystal from Alexandria. Energies are from PBE.

Uncorrected energy = -3.341 eV per atom
Formation energy (no corrections) = 0.06 eV/atom

```
data_HfHgBr2
_cell_length_a 7.238
_cell_length_b 7.238
_cell_length_c 7.238
_cell_angle_alpha 90.00
_cell_angle_beta 90.00
_cell_angle_gamma 90.00
_symmetry_space_group_name_H-M 'F m -3 m'
_symmetry_Int_Tables_number 225
_symmetry_space_group_name_Hall '-F 4 2 3'
loop_
_atom_site_label
_atom_site_type_symbol
_atom_site_fract_x
_atom_site_fract_y
_atom_site_fract_z
Hf1 Hf 0.000 0.000 0.000
Hg1 Hg 0.000 0.000 0.500
Br1 Br 0.250 0.250 0.250
```

# 8
Here is a relaxed RbSr2Al crystal from Alexandria. Energies are from PBE.

Uncorrected energy = -2.011 eV per atom
Formation energy from the elements = 0.01 eV per atom

```
data_RbSr2Al
_cell_length_a 4.071
_cell_length_b 4.071
_cell_length_c 11.527
_cell_angle_alpha 90.00
_cell_angle_beta 90.00
_cell_angle_gamma 90.00
_symmetry_space_group_name_H-M 'P 4/m m m'
_symmetry_Int_Tables_number 123
_symmetry_space_group_name_Hall '-P 4 2'
loop_
_atom_site_label
_atom_site_type_symbol
_atom_site_fract_x
_atom_site_fract_y
_atom_site_fract_z
Rb1 Rb 0.000 0.000 0.000
Sr1 Sr 0.500 0.500 0.339
Al1 Al 0.000 0.000 0.500
```

> The highest uncorrected energy belongs to which entry?

CdAuBr2

> Which formula does entry 4 have?

CdAuBr2

> Among the records above, which one has the lowest uncorrected energy?

CrN2

> Which of these has the highest uncorrected energy?

CdAuBr2